Entry 1:
# LiInBr4

A geometry-optimized LiInBr4 structure (PBE, Alexandria).

Cell lengths 15.229, 3.989, 6.807 Å; angles 90.00, 115.83, 90.00 degrees
Space group C2/m (No. 12)
Unique sites:
Li (0.000, 0.000, 0.000) x2
In (0.000, 0.500, 0.500) x2
Br (0.107, 0.500, 0.925) x4
Br (0.116, 0.000, 0.449) x4

distance to the lowest polymorph of the same formula	0.002	eV per atom
theoretical density	3.9	Mg/m³
spin magnetization	0.000	μB/f.u.
energy relative to the elements, uncorrected	-1051.0	meV/atom

Entry 2:
# Tb8PrEr2

A geometry-optimized Tb8PrEr2 structure (PBE, Alexandria).

Cell lengths 5.528, 8.167, 15.904 Å; angles 90.00, 90.00, 90.00 degrees
Space group Immm (No. 71)
Unique sites:
Tb (0.000, 0.000, 0.164) x4
Tb (0.000, 0.205, 0.361) x8
Tb (0.000, 0.296, 0.000) x4
Pr (0.000, 0.500, 0.500) x2
Er (0.000, 0.500, 0.199) x4

distance to the lowest polymorph of the same formula	0.000	eV per atom
theoretical density	8.1	Mg/m³
spin magnetization	0.000	μB/f.u.
E_form	0.11	eV/atom